{"formula": "CdPd2Se3", "functional": "PBE", "state": "relaxed", "n_ef_per_ev_fu": 1.2, "formation_energy_uncorrected_kj_per_mol_atoms": -35.7, "cell": [[-1.6846, -4.9386, 0.9755], [5.2583, -2.6990, -4.5832], [1.4931, 0.9268, 7.2699]], "species": ["Cd", "Cd", "Pd", "Pd", "Pd", "Pd", "Se", "Se", "Se", "Se", "Se", "Se"], "frac_coords": [[0.3599, 0.6667, 0.3333], [0.6401, 0.3333, 0.6667], [0.0000, 0.0000, 0.0000], [0.0000, 0.5000, 0.5000], [0.0000, 0.5000, 0.0000], [0.0000, 0.0000, 0.5000], [0.7552, 0.3471, 0.1736], [0.7552, 0.8264, 0.6529], [0.7552, 0.8264, 0.1736], [0.2448, 0.1736, 0.8264], [0.2448, 0.6529, 0.8264], [0.2448, 0.1736, 0.3471]]}



{"formula": "Li2TlCdAs", "functional": "PBE", "state": "relaxed", "n_ef_per_ev_fu": 2.2, "ef_ev_per_fu": -0.98, "cell": [[4.8316, 0.0000, 0.0000], [0.0000, 4.8316, 0.0000], [0.0000, 0.0000, 5.5149]], "species": ["Tl", "Li", "Li", "As", "Cd"], "frac_coords": [[0.5000, 0.5000, 0.5000], [0.0000, 0.5000, 0.0000], [0.5000, 0.0000, 0.0000], [0.0000, 0.0000, 0.0000], [0.0000, 0.0000, 0.5000]]}



{"formula": "Ac3La2Tb6", "functional": "PBE", "state": "relaxed", "n_ef_per_ev_fu": 14.9, "ef_ev_per_fu": 2.39, "cell": [[-0.9057, -6.3346, 0.5353], [0.7077, -3.7904, -5.1420], [11.0535, -3.5175, 2.7766]], "species": ["Ac", "Ac", "Ac", "La", "La", "Tb", "Tb", "Tb", "Tb", "Tb", "Tb"], "frac_coords": [[0.0000, 0.0000, 0.0000], [0.3349, 0.3303, 0.0000], [0.6651, 0.6697, 0.0000], [0.1668, 0.6664, 0.5000], [0.8332, 0.3336, 0.5000], [0.4179, 0.6678, 0.7451], [0.7500, 0.0000, 0.7456], [0.0857, 0.3322, 0.7451], [0.2500, 0.0000, 0.2544], [0.5821, 0.3322, 0.2549], [0.9143, 0.6678, 0.2549]]}



{"formula": "BaCeAu2", "functional": "PBE", "state": "relaxed", "n_ef_per_ev_fu": 8.5, "ef_ev_per_fu": -2.57, "cell": [[-3.7298, -0.5156, 0.8286], [0.8580, -0.1727, 3.7547], [-0.9408, 7.7223, 0.5702]], "species": ["Au", "Au", "Ba", "Ce"], "frac_coords": [[0.0000, 0.0000, 0.7986], [0.0000, 0.0000, 0.2014], [0.5000, 0.5000, 0.5000], [0.5000, 0.5000, 0.0000]]}



{"formula": "PmAgBiPt", "functional": "PBE", "state": "relaxed", "n_ef_per_ev_fu": 2.6, "ef_ev_per_fu": -2.11, "cell": [[-4.0757, 0.1941, -2.9975], [-0.0354, -2.5202, -4.3911], [-2.9358, -4.0883, -0.5489]], "species": ["Ag", "Bi", "Pt", "Pm"], "frac_coords": [[0.2500, 0.2500, 0.2500], [0.5000, 0.5000, 0.5000], [0.7500, 0.7500, 0.7500], [0.0000, 0.0000, 0.0000]]}



{"formula": "Ge4Pt", "functional": "PBE", "state": "relaxed", "n_ef_per_ev_fu": 4.7, "ef_ev_per_fu": 2.17, "cell": [[-0.6222, 2.0340, -4.4174], [-4.3971, -2.1378, -0.3651], [-2.0776, 3.9154, 2.0955]], "species": ["Ge", "Ge", "Ge", "Ge", "Pt"], "frac_coords": [[0.0000, 0.0000, 0.0000], [0.5000, 0.0000, 0.5000], [0.0000, 0.5000, 0.5000], [0.5000, 0.5000, 0.0000], [0.5000, 0.5000, 0.5000]]}



Calculated calculated volume, 129 129 419 116 92 118 Å³/f.u. (same order as the records).